{"formula": "CaPm5Pb4", "functional": "PBE", "state": "relaxed", "lattice": [[8.970, -1.862, 0.000], [8.970, 1.862, 0.000], [-0.182, 0.000, 10.000]], "species": ["Ca", "Pm", "Pm", "Pm", "Pm", "Pm", "Pb", "Pb", "Pb", "Pb"], "fractional_positions": [[0.000, 0.000, 0.000], [0.000, 0.000, 0.500], [0.310, 0.310, 0.391], [0.348, 0.348, 0.768], [0.652, 0.652, 0.232], [0.690, 0.690, 0.609], [0.181, 0.181, 0.925], [0.469, 0.469, 0.245], [0.531, 0.531, 0.755], [0.819, 0.819, 0.075]], "volume_a3_per_cell": 334.0, "e_form_ev_per_atom": -0.215, "spacegroup": "C2/m, No. 12", "magmom_total_mub_per_fu": 0.00, "final_energy_ev_per_cell": -42.74}